Compound: CaInHg2
Source: Alexandria
Functional: GGA-PBE
Structure: relaxed

Results
N(E_F) = 1.41 states/eV/f.u.
magnetic moment = 0.0 μB/f.u.
uncorrected energy = -6.30 eV/cell
energy of formation = -0.240 eV/atom
calculated volume = 28.19 Å³/atom

Unit cell a=9.1996 b=9.1996 c=9.1996 alpha=23.96 beta=23.96 gamma=23.96
Element x y z (fractional)
Ca  0.0000  0.0000  0.0000
In  0.5000  0.5000  0.5000
Hg  0.2484  0.2484  0.2484
Hg  0.7516  0.7516  0.7516